Compound: Re2NiMo
Source: the Alexandria database
Functional: PBEsol
Structure: optimized geometry

```
Re2NiMo
1.0
-0.447 2.272 3.014
-1.920 -2.750 1.789
3.245 -1.310 1.469
Ni Mo Re
1 1 2
Cartesian
1.622 -0.655 0.734 Ni
0.439 -0.894 3.136 Mo
-0.223 1.136 1.507 Re
-0.960 -1.375 0.894 Re
```

Total energy = -11.15 eV/atom
DOS at the Fermi energy = 2.90 states/eV/cell
Formation energy = 0.00 eV per atom